# NdMn4O8

Crystalline NdMn4O8 at its relaxed geometry (PBE with a Hubbard U, Alexandria).

The space group is C2/m (No. 12) and the conventional cell measures 11.051, 5.799 and 7.473 Å, with angles of 90.00, 130.41 and 90.00 degrees. The distinct sites, in fractional coordinates, are Nd at (0.000, 0.000, 0.000), Mn at (0.000, 0.252, 0.500), Mn at (0.232, 0.500, 0.469), O at (0.003, 0.500, 0.328), O at (0.011, 0.000, 0.334) and O at (0.223, 0.236, 0.301).

The calculation puts the total moment at 15.0 μB/f.u. For the density of states at the Fermi level, the calculation gives 0.337 states/eV per atom. For the uncorrected energy, the calculation gives -196.1 eV for the cell shown. The calculation puts the calculated volume at 14.02 Å³/atom. Its distance to the lowest polymorph of the same formula is 0 meV per atom.